(1)
Entry from OQMD: a geometry-optimized Li2LaTbSe2O2 structure (PBE).

a b c (Å): 4.0025 4.0025 8.9892
angles (deg): 90.00 90.00 90.00
Positions (direct):
Se1 0.0000 0.0000 0.3267
Se2 0.5000 0.5000 0.6759
La1 0.5000 0.5000 0.1328
Li1 0.5000 0.0000 0.5030
Li2 0.0000 0.5000 0.5030
O1 0.5000 0.0000 0.9927
O2 0.0000 0.5000 0.9927
Tb1 0.0000 0.0000 0.8730

Results
- M_tot (μB/cell) = 0.00
- space group = P4mm, No. 99
- VASP energy (eV/f.u.) = -49.6

(2)
Entry from OQMD: a geometry-optimized LiLaZnO3 structure (PBE).

a b c (Å): 8.0498 8.0498 6.7703
angles (deg): 90.00 90.00 21.81
Last column: magnetic moment on the atom in μB.
Positions (direct):
O1 0.2591 0.2591 0.7500  -0.40
O2 0.1280 0.1280 0.9689  -0.16
O3 0.8720 0.8720 0.4689  -0.16
O4 0.1280 0.1280 0.5311  -0.16
O5 0.8720 0.8720 0.0311  -0.16
O6 0.7409 0.7409 0.2500  -0.40
La1 0.0000 0.0000 0.5000  -0.05
La2 0.0000 0.0000 0.0000  -0.05
Zn1 0.3226 0.3226 0.2500  0.00
Zn2 0.6774 0.6774 0.7500  0.00
Li1 0.1728 0.1728 0.2500  0.00
Li2 0.8272 0.8272 0.7500  0.00

Results
- M_tot (μB/cell) = 1.62
- space group = Cmcm, No. 63
- VASP energy (eV/f.u.) = -29.7

(3)
Entry from OQMD: a geometry-optimized LiLa2Os structure (PBE).

a b c (Å): 6.7076 8.4312 7.3640
angles (deg): 90.00 90.00 90.00
Positions (direct):
La1 0.3142 0.4550 0.6721
La2 0.6858 0.5450 0.3279
La3 0.8142 0.9550 0.8279
La4 0.1858 0.4550 0.1721
La5 0.3142 0.0450 0.6721
La6 0.8142 0.5450 0.8279
La7 0.1858 0.0450 0.1721
La8 0.6858 0.9550 0.3279
Li1 0.3842 0.7500 0.9484
Li2 0.6158 0.2500 0.0516
Li3 0.1158 0.7500 0.4484
Li4 0.8842 0.2500 0.5516
Os1 0.4888 0.2500 0.4068
Os2 0.0112 0.2500 0.9068
Os3 0.5112 0.7500 0.5932
Os4 0.9887 0.7500 0.0932

Results
- M_tot (μB/cell) = 0.00
- space group = Pnma, No. 62
- energy above the most stable polymorph in this dataset (meV/atom) = 43.0

(4)
Entry from OQMD: a geometry-optimized LiLa2Os structure (PBE).

a b c (Å): 3.5081 3.5081 8.7288
angles (deg): 90.00 90.00 90.00
Positions (direct):
La1 0.5000 0.5000 0.7014
La2 0.5000 0.5000 0.2986
Li1 0.0000 0.0000 0.0000
Os1 0.0000 0.0000 0.5000

Results
- M_tot (μB/cell) = 0.02
- space group = P4/mmm, No. 123
- energy above the most stable polymorph in this dataset (meV/atom) = 36.6

(5)
Entry from OQMD: a geometry-optimized LiLa2Os structure (PBE).

a b c (Å): 4.2825 4.2825 14.0789
angles (deg): 90.00 90.00 120.00
Positions (direct):
La1 0.3333 0.6667 0.1248
La2 0.6667 0.3333 0.8752
La3 0.3333 0.6667 0.3752
La4 0.6667 0.3333 0.6248
Os1 0.0000 0.0000 0.2500
Os2 0.0000 0.0000 0.7500
Li1 0.6667 0.3333 0.2500
Li2 0.3333 0.6667 0.7500

Results
- M_tot (μB/cell) = 0.31
- space group = P6_3/mmc, No. 194
- energy above the most stable polymorph in this dataset (meV/atom) = 127.8

(6)
Entry from OQMD: a geometry-optimized LiLa2Os structure (PBE).

a b c (Å): 5.4191 5.4191 8.2268
angles (deg): 90.00 90.00 120.00
Positions (direct):
Os1 0.3333 0.6667 0.2500
Os2 0.6667 0.3333 0.7500
Li1 0.0000 0.0000 0.5000
Li2 0.0000 0.0000 0.0000
La1 0.6667 0.3333 0.0699
La2 0.3333 0.6667 0.5699
La3 0.3333 0.6667 0.9301
La4 0.6667 0.3333 0.4301

Results
- M_tot (μB/cell) = 0.01
- space group = P6_3/mmc, No. 194
- energy above the most stable polymorph in this dataset (meV/atom) = 481.4

(7)
Entry from OQMD: a geometry-optimized LiLa2Os structure (PBE).

a b c (Å): 5.1354 7.2404 15.3152
angles (deg): 90.00 90.00 90.00
Positions (direct):
La1 0.4996 0.7509 0.3333
La2 0.0004 0.7491 0.8333
La3 0.9996 0.7491 0.1667
La4 0.0004 0.2509 0.8333
La5 0.0000 0.7491 0.5000
La6 0.0000 0.2509 0.5000
La7 0.5000 0.2491 0.0000
La8 0.5004 0.7509 0.6667
La9 0.4996 0.2491 0.3333
La10 0.5000 0.7509 0.0000
La11 0.9996 0.2509 0.1667
La12 0.5004 0.2491 0.6667
Li1 0.5000 0.5000 0.5000
Li2 0.0006 0.0000 0.6667
Li3 0.5006 0.5000 0.8333
Li4 0.4994 0.5000 0.1667
Li5 0.0000 0.0000 0.0000
Li6 0.9994 0.0000 0.3333
Os1 0.4996 0.0000 0.1667
Os2 0.9996 0.5000 0.3333
Os3 0.5004 0.0000 0.8333
Os4 0.0004 0.5000 0.6667
Os5 0.0000 0.5000 0.0000
Os6 0.5000 0.0000 0.5000

Results
- M_tot (μB/cell) = 0.00
- space group = Immm, No. 71
- energy above the most stable polymorph in this dataset (meV/atom) = 0.1

(8)
Entry from OQMD: a geometry-optimized LiLa2Os structure (PBE).

a b c (Å): 5.1216 7.2404 15.3600
angles (deg): 90.00 90.00 90.00
Positions (direct):
Li1 0.5000 0.0000 0.5000
Li2 0.4996 0.0000 0.8333
Li3 0.9996 0.5000 0.6667
Li4 0.0004 0.5000 0.3333
Li5 0.5004 0.0000 0.1667
Li6 0.0000 0.5000 0.0000
La1 0.0005 0.7503 0.8333
La2 0.0000 0.7500 0.5000
La3 0.4995 0.2503 0.3333
La4 0.5000 0.7500 0.0000
La5 0.9995 0.2497 0.1667
La6 0.4995 0.7497 0.3333
La7 0.0005 0.2497 0.8333
La8 0.5005 0.7497 0.6667
La9 0.5000 0.2500 0.0000
La10 0.9995 0.7503 0.1667
La11 0.5005 0.2503 0.6667
La12 0.0000 0.2500 0.5000
Os1 0.4979 0.5000 0.1667
Os2 0.0000 0.0000 0.0000
Os3 0.0021 0.0000 0.6667
Os4 0.5021 0.5000 0.8333
Os5 0.5000 0.5000 0.5000
Os6 0.9979 0.0000 0.3333

Results
- M_tot (μB/cell) = 0.00
- space group = Pnnm, No. 58
- energy above the most stable polymorph in this dataset (meV/atom) = 0.0